A plane-wave DFT calculation with meta-GGA SCAN was carried out for a crystal of Sr3NbAl relaxed with PBEsol.

abc: 5.698 5.698 5.698
angles: 90.00 90.00 90.00
Positions (direct):
Sr 0.000 0.500 0.000
Sr 0.000 0.000 0.500
Sr 0.500 0.000 0.000
Nb 0.000 0.000 0.000
Al 0.500 0.500 0.500

Properties
The space group is Pm-3m. For the formation energy, the calculation gives 1.071 eV per atom.



A plane-wave DFT calculation with meta-GGA SCAN was carried out for a crystal of BWI2O relaxed with PBEsol.

abc: 3.772 5.447 5.447
angles: 90.00 90.00 90.00
Positions (direct):
I 0.000 0.000 0.500
I 0.000 0.500 0.000
B 0.500 0.500 0.500
O 0.500 0.000 0.000
W 0.000 0.000 0.000

Properties
The space group is P4/mmm. For the energy relative to the lowest polymorph listed for this composition, the calculation gives 0.0 meV per atom. The calculation puts the energy relative to the elements, uncorrected at 0.70 eV per atom.



A plane-wave DFT calculation with meta-GGA SCAN was carried out for a crystal of MgSn3Hg relaxed with PBEsol.

abc: 5.338 5.338 5.338
angles: 90.00 90.00 90.00
Positions (direct):
Mg 0.000 0.000 0.000
Hg 0.500 0.500 0.500
Sn 0.000 0.500 0.000
Sn 0.000 0.000 0.500
Sn 0.500 0.000 0.000

Properties
The space group is Pm-3m. For the formation energy, the calculation gives 0.484 eV per atom.



A plane-wave DFT calculation with meta-GGA SCAN was carried out for a crystal of Ca3Tl4O9 relaxed with PBEsol.

abc: 3.343 5.812 12.270
angles: 102.34 90.00 106.71
Positions (direct):
Ca 0.547 0.094 0.287
Ca 0.448 0.897 0.709
Ca 0.242 0.484 0.872
Tl 0.147 0.294 0.563
Tl 0.846 0.691 0.438
Tl 0.003 0.006 0.998
Tl 0.764 0.528 0.127
O 0.188 0.376 0.397
O 0.804 0.608 0.603
O 0.092 0.183 0.716
O 0.901 0.803 0.280
O 0.127 0.254 0.162
O 0.879 0.758 0.838
O 0.379 0.757 0.061
O 0.639 0.278 0.955
O 0.494 0.989 0.491

Properties
The space group is Cm. The calculation puts the energy relative to the elements, uncorrected at -1.69 eV per atom.



A plane-wave DFT calculation with meta-GGA SCAN was carried out for a crystal of BaBe2PdPt relaxed with PBEsol.

abc: 4.330 4.330 5.322
angles: 90.00 90.00 90.00
Positions (direct):
Be 0.000 0.500 0.000
Be 0.500 0.000 0.000
Pd 0.000 0.000 0.500
Ba 0.500 0.500 0.500
Pt 0.000 0.000 0.000

Properties
The space group is P4/mmm. For the formation energy, the calculation gives -0.287 eV per atom.



A plane-wave DFT calculation with meta-GGA SCAN was carried out for a crystal of Sr3FeBi relaxed with PBEsol.

abc: 6.260 6.260 6.260
angles: 90.00 90.00 90.00
Site moments in Bohr magnetons follow the coordinates.
Positions (direct):
Sr 0.000 0.500 0.000  -0.01
Sr 0.000 0.000 0.500  -0.01
Sr 0.500 0.000 0.000  -0.01
Bi 0.000 0.000 0.000  0.01
Fe 0.500 0.500 0.500  3.25

Properties
The space group is Pm-3m. For the formation energy, the calculation gives 0.281 eV per atom.



A plane-wave DFT calculation with meta-GGA SCAN was carried out for a crystal of AlZnRu2 relaxed with PBEsol.

abc: 2.767 2.767 8.324
angles: 80.43 80.43 60.00
Positions (direct):
Ru 0.252 0.252 0.245
Ru 0.748 0.748 0.755
Zn 0.500 0.500 0.500
Al 0.000 0.000 0.000

Properties
The space group is R-3m. For the formation energy, the calculation gives -0.212 eV per atom.



A plane-wave DFT calculation with meta-GGA SCAN was carried out for a crystal of TmTa5Ag2O15 relaxed with PBEsol.

abc: 3.881 12.437 12.437
angles: 90.00 90.00 90.00
Positions (direct):
Tm 0.500 0.000 0.000
Tm 0.500 0.500 0.500
Ta 0.000 0.500 0.000
Ta 0.000 0.000 0.500
Ta 0.000 0.209 0.081
Ta 0.000 0.791 0.919
Ta 0.000 0.081 0.791
Ta 0.000 0.709 0.419
Ta 0.000 0.919 0.209
Ta 0.000 0.291 0.581
Ta 0.000 0.581 0.709
Ta 0.000 0.419 0.291
Ag 0.500 0.657 0.157
Ag 0.500 0.343 0.843
Ag 0.500 0.157 0.343
Ag 0.500 0.843 0.657
O 0.500 0.185 0.078
O 0.500 0.815 0.922
O 0.500 0.078 0.815
O 0.500 0.685 0.422
O 0.500 0.922 0.185
O 0.500 0.315 0.578
O 0.500 0.578 0.685
O 0.500 0.422 0.315
O 0.000 0.226 0.726
O 0.000 0.774 0.274
O 0.000 0.726 0.774
O 0.000 0.274 0.226
O 0.500 0.500 0.000
O 0.500 0.000 0.500
O 0.000 0.057 0.129
O 0.000 0.943 0.871
O 0.000 0.129 0.943
O 0.000 0.557 0.371
O 0.000 0.871 0.057
O 0.000 0.443 0.629
O 0.000 0.629 0.557
O 0.000 0.371 0.443
O 0.000 0.340 0.999
O 0.000 0.660 0.001
O 0.000 0.999 0.660
O 0.000 0.840 0.501
O 0.000 0.001 0.340
O 0.000 0.160 0.499
O 0.000 0.499 0.840
O 0.000 0.501 0.160

Properties
The space group is P4/mbm. The calculation puts the energy relative to the elements, uncorrected at -2.74 eV per atom.



A plane-wave DFT calculation with meta-GGA SCAN was carried out for a crystal of NbOsCl2 relaxed with PBEsol.

abc: 2.963 2.963 8.874
angles: 80.39 80.39 60.00
Site moments in Bohr magnetons follow the coordinates.
Positions (direct):
Nb 0.000 0.000 0.000  0.09
Os 0.500 0.500 0.500  1.31
Cl 0.909 0.909 0.274  0.12
Cl 0.091 0.091 0.726  0.12

Properties
The space group is R-3m. The calculation puts the energy relative to the elements, uncorrected at 0.77 eV per atom.



A plane-wave DFT calculation with meta-GGA SCAN was carried out for a crystal of KAsRh2Au relaxed with PBEsol.

abc: 4.778 5.038 5.038
angles: 90.00 90.00 90.00
Site moments in Bohr magnetons follow the coordinates.
Positions (direct):
Rh 0.000 0.000 0.500  1.37
Rh 0.000 0.500 0.000  1.37
As 0.500 0.000 0.000  0.09
Au 0.000 0.000 0.000  0.10
K 0.500 0.500 0.500  0.00

Properties
The space group is P4/mmm. For the formation energy, the calculation gives 0.876 eV per atom.



A plane-wave DFT calculation with meta-GGA SCAN was carried out for a crystal of Li3Ag2 relaxed with PBEsol.

abc: 4.432 4.432 5.400
angles: 90.00 90.00 120.00
Positions (direct):
Ag 0.333 0.667 0.877
Ag 0.667 0.333 0.123
Li 0.000 0.000 0.000
Li 0.333 0.667 0.367
Li 0.667 0.333 0.633

Properties
The space group is P-3m1. For the formation energy, the calculation gives -0.103 eV per atom. For the energy relative to the lowest polymorph listed for this composition, the calculation gives 54.7 meV per atom.



A plane-wave DFT calculation with meta-GGA SCAN was carried out for a crystal of Hf2Co relaxed with PBEsol.

abc: 8.378 8.378 8.378
angles: 60.00 60.00 60.00
Positions (direct):
Hf 0.125 0.125 0.125
Hf 0.125 0.125 0.625
Hf 0.125 0.625 0.125
Hf 0.625 0.125 0.125
Hf 0.688 0.688 0.312
Hf 0.312 0.312 0.688
Hf 0.688 0.312 0.688
Hf 0.312 0.688 0.312
Hf 0.688 0.312 0.312
Hf 0.312 0.688 0.688
Hf 0.562 0.562 0.938
Hf 0.938 0.938 0.562
Hf 0.562 0.938 0.562
Hf 0.938 0.562 0.938
Hf 0.562 0.938 0.938
Hf 0.938 0.562 0.562
Co 0.903 0.903 0.903
Co 0.903 0.903 0.291
Co 0.903 0.291 0.903
Co 0.291 0.903 0.903
Co 0.347 0.347 0.347
Co 0.347 0.347 0.959
Co 0.347 0.959 0.347
Co 0.959 0.347 0.347

Properties
The space group is Fd-3m. For the formation energy, the calculation gives -0.248 eV per atom.



A plane-wave DFT calculation with meta-GGA SCAN was carried out for a crystal of TiSi3H relaxed with PBEsol.

abc: 4.723 4.723 4.723
angles: 90.00 90.00 90.00
Site moments in Bohr magnetons follow the coordinates.
Positions (direct):
H 0.500 0.500 0.500  0.34
Si 0.000 0.500 0.000  0.01
Si 0.000 0.000 0.500  0.01
Si 0.500 0.000 0.000  0.01
Ti 0.000 0.000 0.000  0.10

Properties
The space group is Pm-3m.



A plane-wave DFT calculation with meta-GGA SCAN was carried out for a crystal of CsRbScI2 relaxed with PBEsol.

abc: 6.852 6.852 6.991
angles: 90.00 90.00 90.00
Site moments in Bohr magnetons follow the coordinates.
Positions (direct):
Cs 0.000 0.000 0.000  0.00
I 0.000 0.500 0.000  -0.01
I 0.500 0.000 0.000  -0.01
Sc 0.500 0.500 0.500  0.89
Rb 0.000 0.000 0.500  0.00

Properties
The space group is P4/mmm. The calculation puts the energy relative to the elements, uncorrected at -0.10 eV per atom.



A plane-wave DFT calculation with meta-GGA SCAN was carried out for a crystal of TlAsIr2 relaxed with PBEsol.

abc: 4.562 4.562 4.562
angles: 60.00 60.00 60.00
Positions (direct):
Tl 0.250 0.250 0.250
Ir 0.000 0.000 0.000
Ir 0.750 0.750 0.750
As 0.500 0.500 0.500

Properties
The space group is F-43m. For the formation energy, the calculation gives 0.778 eV per atom. For the energy relative to the lowest polymorph listed for this composition, the calculation gives 474.1 meV per atom.



A plane-wave DFT calculation with meta-GGA SCAN was carried out for a crystal of AgRh2Pb relaxed with PBEsol.

abc: 3.066 4.689 5.026
angles: 102.24 90.00 109.08
Positions (direct):
Ag 0.500 0.000 0.000
Pb 0.000 0.000 0.500
Rh 0.748 0.496 0.761
Rh 0.252 0.504 0.239

Properties
The space group is C2/m. For the formation energy, the calculation gives 0.247 eV per atom.



A plane-wave DFT calculation with meta-GGA SCAN was carried out for a crystal of TcW2Br relaxed with PBEsol.

abc: 2.965 4.511 5.064
angles: 93.16 107.02 90.00
Positions (direct):
Br 0.502 0.490 0.004
Tc 0.723 0.219 0.445
W 0.999 0.014 0.998
W 0.276 0.777 0.553

Properties
The space group is Cm. For the energy relative to the lowest polymorph listed for this composition, the calculation gives 0.0 meV per atom. The calculation puts the energy relative to the elements, uncorrected at 0.98 eV per atom.



A plane-wave DFT calculation with meta-GGA SCAN was carried out for a crystal of USnRu relaxed with PBEsol.

abc: 3.943 7.215 7.215
angles: 120.00 90.00 90.00
Site moments in Bohr magnetons follow the coordinates.
Positions (direct):
U 0.500 0.000 0.414  1.69
U 0.500 0.414 0.000  1.69
U 0.500 0.586 0.586  1.69
Sn 0.000 0.000 0.746  -0.05
Sn 0.000 0.746 0.000  -0.05
Sn 0.000 0.254 0.254  -0.05
Ru 0.000 0.667 0.333  -0.44
Ru 0.000 0.333 0.667  -0.44
Ru 0.500 0.000 0.000  -0.24

Properties
The space group is P-62m. For the formation energy, the calculation gives -0.191 eV per atom.



A plane-wave DFT calculation with meta-GGA SCAN was carried out for a crystal of IrPd3Au relaxed with PBEsol.

abc: 4.742 4.742 4.742
angles: 90.00 90.00 90.00
Site moments in Bohr magnetons follow the coordinates.
Positions (direct):
Ir 0.500 0.500 0.500  1.80
Au 0.000 0.000 0.000  0.00
Pd 0.000 0.500 0.000  0.06
Pd 0.000 0.000 0.500  0.06
Pd 0.500 0.000 0.000  0.06

Properties
The space group is Pm-3m. For the formation energy, the calculation gives 1.804 eV per atom.



A plane-wave DFT calculation with meta-GGA SCAN was carried out for a crystal of CaCoH2 relaxed with PBEsol.

abc: 4.245 4.245 5.528
angles: 112.58 112.58 90.00
Positions (direct):
H 0.027 0.375 0.250
H 0.223 0.875 0.250
H 0.625 0.777 0.750
H 0.125 0.973 0.750
Ca 0.750 0.250 0.500
Ca 0.500 0.500 0.000
Co 0.250 0.750 0.500
Co 0.000 0.000 0.000

Properties
The space group is I-42d. For the energy relative to the lowest polymorph listed for this composition, the calculation gives 0.0 meV per atom.



Density for the records above, in order: 3436; 6891; 6343; 8071; 7602; 3573; 9031; 8462; 8882; 7077; 4276; 13286; 2099; 2616; 16421; 12997; 14013; 12831; 11031; 4012 kg/m3
Final energy for the records above, in order: -102.4; -153.3; -178.5; -401.5; -152.7; -162.1; -91.8; -1207.9; -117.9; -160.8; -70.4; -1147.1; -43.9; -146.8; -231.6; -173.7; -190.0; -524.5; -229.6; -68.2 eV per cell